{"formula": "LiScCoAs", "functional": "PBE", "state": "relaxed", "de_polymorph_ev_per_atom": 0.227, "magnetic_moment_mub_per_cell": 1.12, "cell": [[0.000, 3.115, 3.115], [3.115, 0.000, 3.115], [3.115, 3.115, 0.000]], "species": ["As", "Sc", "Li", "Co"], "fractional_positions": [[0.500, 0.500, 0.500], [0.250, 0.250, 0.250], [0.750, 0.750, 0.750], [0.000, 0.000, 0.000]]}